No. 1
This record from the Alexandria database describes an optimized crystal structure of La11Dy4Y9. The functional is PBE-GGA. Values from VASP.

Output
Its formation energy is 0.062 eV per atom. The density of states at the Fermi level comes out at 36.3 states/eV/f.u.

Structure (Quantum ESPRESSO input):
```
&SYSTEM
  ibrav = 0, nat = 24, ntyp = 3
/
ATOMIC_SPECIES
Y 88.91 Y.upf
La 138.91 La.upf
Dy 162.50 Dy.upf
CELL_PARAMETERS angstrom
-2.968 -2.021 -0.965
4.564 0.434 -14.945
5.795 -12.239 7.810
ATOMIC_POSITIONS crystal
Y 0.500 0.931 0.786
Y 0.500 0.834 0.369
Y 0.500 0.631 0.166
Y 0.500 0.500 0.500
Y 0.500 0.786 0.931
Y 0.500 0.069 0.214
Y 0.500 0.214 0.069
Y 0.500 0.166 0.631
Y 0.500 0.369 0.834
La 0.000 0.841 0.159
La 0.000 0.707 0.707
La 0.000 0.956 0.594
La 0.000 0.594 0.956
La 0.000 0.406 0.044
La 0.000 0.369 0.631
La 0.000 0.044 0.406
La 0.000 0.293 0.293
La 0.000 0.000 0.000
La 0.000 0.631 0.369
La 0.000 0.159 0.841
Dy 0.500 0.445 0.242
Dy 0.500 0.758 0.555
Dy 0.500 0.242 0.445
Dy 0.500 0.555 0.758
```



No. 2
This record from the Alexandria database describes an optimized crystal structure of Pm3MgHg5. The functional is PBE-GGA. Values from VASP.

Output
Its formation energy is -0.448 eV per atom. The density of states at the Fermi level comes out at 6.5 states/eV/f.u.

Structure (Quantum ESPRESSO input):
```
&SYSTEM
  ibrav = 0, nat = 18, ntyp = 3
/
ATOMIC_SPECIES
Hg 200.59 Hg.upf
Pm 145.00 Pm.upf
Mg 24.30 Mg.upf
CELL_PARAMETERS angstrom
-5.384 -3.463 -0.243
4.719 -7.100 -3.374
-1.013 0.940 9.064
ATOMIC_POSITIONS crystal
Hg 0.000 0.667 0.333
Hg 0.500 0.333 0.667
Hg 0.500 0.667 0.333
Hg 0.750 0.000 0.297
Hg 0.750 0.297 0.000
Hg 0.250 0.703 0.000
Hg 0.000 0.333 0.667
Hg 0.250 0.000 0.703
Hg 0.750 0.703 0.703
Hg 0.250 0.297 0.297
Pm 0.750 0.639 0.000
Pm 0.750 0.000 0.639
Pm 0.250 0.361 0.000
Pm 0.250 0.639 0.639
Pm 0.250 0.000 0.361
Pm 0.750 0.361 0.361
Mg 0.500 0.000 0.000
Mg 0.000 0.000 0.000
```



No. 3
This record from the Alexandria database describes an optimized crystal structure of SrHfMn3. The functional is PBE-GGA. Values from VASP.

Output
Its formation energy is 0.892 eV per atom. The density of states at the Fermi level comes out at 3.0 states/eV/f.u. As for the relative energy among the computed polymorphs: 0 meV/atom.

Structure (Quantum ESPRESSO input):
```
&SYSTEM
  ibrav = 0, nat = 5, ntyp = 3
/
ATOMIC_SPECIES
Mn 54.94 Mn.upf
Hf 178.49 Hf.upf
Sr 87.62 Sr.upf
CELL_PARAMETERS angstrom
-3.782 2.908 -1.502
-0.870 -3.106 -3.822
-3.155 -2.628 2.855
ATOMIC_POSITIONS crystal
Mn 0.500 0.000 0.000
Mn 0.000 0.000 0.500
Mn 0.000 0.500 0.000
Hf 0.000 0.000 0.000
Sr 0.500 0.500 0.500
```



No. 4
This record from the Alexandria database describes an optimized crystal structure of PrHoTe3. The functional is PBE-GGA. Values from VASP.

Output
The density of states at the Fermi level comes out at 0.1 states/eV/f.u. As for the relative energy among the computed polymorphs: 0 meV/atom.

Structure (Quantum ESPRESSO input):
```
&SYSTEM
  ibrav = 0, nat = 10, ntyp = 3
/
ATOMIC_SPECIES
Te 127.60 Te.upf
Ho 164.93 Ho.upf
Pr 140.91 Pr.upf
CELL_PARAMETERS angstrom
4.330 0.000 0.000
-2.165 7.129 0.000
0.000 0.000 10.838
ATOMIC_POSITIONS crystal
Te 0.354 0.708 0.562
Te 0.088 0.177 0.750
Te 0.646 0.292 0.438
Te 0.912 0.823 0.250
Te 0.646 0.292 0.062
Te 0.354 0.708 0.938
Ho 0.000 0.000 0.500
Ho 0.000 0.000 0.000
Pr 0.249 0.499 0.250
Pr 0.751 0.501 0.750
```



No. 5
This record from the Alexandria database describes an optimized crystal structure of GaC2I. The functional is PBE-GGA. Values from VASP.

Output
The density of states at the Fermi level comes out at 2.0 states/eV/f.u. As for the relative energy among the computed polymorphs: 0 meV/atom.

Structure (Quantum ESPRESSO input):
```
&SYSTEM
  ibrav = 0, nat = 8, ntyp = 3
/
ATOMIC_SPECIES
Ga 69.72 Ga.upf
I 126.90 I.upf
C 12.01 C.upf
CELL_PARAMETERS angstrom
5.119 0.000 0.000
0.000 5.119 0.000
2.560 2.560 5.134
ATOMIC_POSITIONS crystal
Ga 0.500 0.500 0.000
Ga 0.250 0.750 0.500
I 0.000 0.000 0.000
I 0.750 0.250 0.500
C 0.875 0.808 0.750
C 0.375 0.442 0.750
C 0.192 0.625 0.250
C 0.558 0.125 0.250
```



No. 6
This record from the Alexandria database describes an optimized crystal structure of SmLuTlRh. The functional is PBE-GGA. Values from VASP.

Output
Its formation energy is -0.470 eV per atom. The density of states at the Fermi level comes out at 2.0 states/eV/f.u.

Structure (Quantum ESPRESSO input):
```
&SYSTEM
  ibrav = 0, nat = 4, ntyp = 4
/
ATOMIC_SPECIES
Tl 204.38 Tl.upf
Rh 102.91 Rh.upf
Lu 174.97 Lu.upf
Sm 150.36 Sm.upf
CELL_PARAMETERS angstrom
5.121 0.000 0.000
2.561 4.435 0.000
2.561 1.478 4.182
ATOMIC_POSITIONS crystal
Tl 0.000 0.000 0.000
Rh 0.500 0.500 0.500
Lu 0.250 0.250 0.250
Sm 0.750 0.750 0.750
```



No. 7
This record from the Alexandria database describes an optimized crystal structure of KTlSb2. The functional is PBE-GGA. Values from VASP.

Output
The density of states at the Fermi level comes out at 1.5 states/eV/f.u. As for the relative energy among the computed polymorphs: 78 meV/atom.

Structure (Quantum ESPRESSO input):
```
&SYSTEM
  ibrav = 0, nat = 4, ntyp = 3
/
ATOMIC_SPECIES
Sb 121.76 Sb.upf
K 39.10 K.upf
Tl 204.38 Tl.upf
CELL_PARAMETERS angstrom
-4.488 2.604 3.836
-6.050 0.278 -2.228
4.647 -4.448 0.510
ATOMIC_POSITIONS crystal
Sb 0.500 0.500 0.000
Sb 0.000 0.000 0.000
K 0.250 0.750 0.500
Tl 0.750 0.250 0.500
```



No. 8
This record from the Alexandria database describes an optimized crystal structure of PmYTm2. The functional is PBE-GGA. Values from VASP.

Output
Its formation energy is 0.013 eV per atom. The density of states at the Fermi level comes out at 7.5 states/eV/f.u. As for the relative energy among the computed polymorphs: 0 meV/atom.

Structure (Quantum ESPRESSO input):
```
&SYSTEM
  ibrav = 0, nat = 16, ntyp = 3
/
ATOMIC_SPECIES
Pm 145.00 Pm.upf
Y 88.91 Y.upf
Tm 168.93 Tm.upf
CELL_PARAMETERS angstrom
7.259 0.000 0.000
0.000 6.092 -1.386
0.000 -3.581 12.419
ATOMIC_POSITIONS crystal
Pm 0.500 0.457 0.125
Pm 0.500 0.543 0.875
Pm 0.500 0.957 0.625
Pm 0.500 0.043 0.375
Y 0.754 0.542 0.376
Y 0.246 0.042 0.876
Y 0.246 0.458 0.624
Y 0.754 0.958 0.124
Tm 0.754 0.042 0.874
Tm 0.000 0.042 0.375
Tm 0.000 0.958 0.625
Tm 0.000 0.542 0.875
Tm 0.246 0.958 0.126
Tm 0.754 0.458 0.626
Tm 0.246 0.542 0.374
Tm 0.000 0.458 0.125
```



No. 9
This record from the Alexandria database describes an optimized crystal structure of KLaBe2F8. The functional is PBE-GGA. Values from VASP.

Output
The density of states at the Fermi level comes out at 0.0 states/eV/f.u. The electronic total energy is -70.2 eV/cell.

Structure (Quantum ESPRESSO input):
```
&SYSTEM
  ibrav = 0, nat = 12, ntyp = 4
/
ATOMIC_SPECIES
F 19.00 F.upf
K 39.10 K.upf
La 138.91 La.upf
Be 9.01 Be.upf
CELL_PARAMETERS angstrom
-3.764 -2.487 2.651
0.127 -5.211 0.456
2.660 -1.940 7.121
ATOMIC_POSITIONS crystal
F 0.545 0.285 0.185
F 0.985 0.545 0.185
F 0.285 0.985 0.185
F 0.715 0.015 0.815
F 0.455 0.715 0.815
F 0.826 0.826 0.523
F 0.174 0.174 0.477
F 0.015 0.455 0.815
K 0.500 0.500 0.500
La 0.000 0.000 0.000
Be 0.243 0.243 0.272
Be 0.757 0.757 0.728
```



No. 10
This record from the Alexandria database describes an optimized crystal structure of LiMgZnRu. The functional is PBE-GGA. Values from VASP.

Output
Its formation energy is -0.107 eV per atom. The density of states at the Fermi level comes out at 1.8 states/eV/f.u. As for the relative energy among the computed polymorphs: 0 meV/atom.

Structure (Quantum ESPRESSO input):
```
&SYSTEM
  ibrav = 0, nat = 4, ntyp = 4
/
ATOMIC_SPECIES
Zn 65.41 Zn.upf
Li 6.94 Li.upf
Mg 24.30 Mg.upf
Ru 101.07 Ru.upf
CELL_PARAMETERS angstrom
3.291 0.000 0.000
0.000 4.190 0.000
0.000 0.000 4.259
ATOMIC_POSITIONS crystal
Zn 0.500 0.500 0.000
Li 0.000 0.500 0.500
Mg 0.500 0.000 0.500
Ru 0.000 0.000 0.000
```



No. 11
This record from the Alexandria database describes an optimized crystal structure of HfFe2RhPb. The functional is PBE-GGA. Values from VASP.

Output
Its formation energy is 2.039 eV per atom. The density of states at the Fermi level comes out at 9.6 states/eV/f.u.

Structure (Quantum ESPRESSO input):
```
&SYSTEM
  ibrav = 0, nat = 5, ntyp = 4
/
ATOMIC_SPECIES
Hf 178.49 Hf.upf
Rh 102.91 Rh.upf
Pb 207.20 Pb.upf
Fe 55.84 Fe.upf
CELL_PARAMETERS angstrom
4.612 0.000 0.000
0.000 5.312 0.000
0.000 0.000 4.612
ATOMIC_POSITIONS crystal
Hf 0.000 0.500 0.000
Rh 0.500 0.500 0.500
Pb 0.000 0.000 0.000
Fe 0.000 0.000 0.500
Fe 0.500 0.000 0.000
```



No. 12
This record from the Alexandria database describes an optimized crystal structure of La2MnIrSe. The functional is PBE-GGA. Values from VASP.

Output
The density of states at the Fermi level comes out at 4.5 states/eV/f.u. As for the relative energy among the computed polymorphs: 0 meV/atom.

Structure (Quantum ESPRESSO input):
```
&SYSTEM
  ibrav = 0, nat = 5, ntyp = 4
/
ATOMIC_SPECIES
La 138.91 La.upf
Se 78.96 Se.upf
Mn 54.94 Mn.upf
Ir 192.22 Ir.upf
CELL_PARAMETERS angstrom
5.547 0.000 0.000
0.000 4.821 0.000
0.000 0.000 5.547
ATOMIC_POSITIONS crystal
La 0.000 0.000 0.500
La 0.500 0.000 0.000
Se 0.500 0.500 0.500
Mn 0.000 0.500 0.000
Ir 0.000 0.000 0.000
```



No. 13
This record from the Alexandria database describes an optimized crystal structure of La14SmZr. The functional is PBE-GGA. Values from VASP.

Output
Its formation energy is 0.041 eV per atom. The density of states at the Fermi level comes out at 27.2 states/eV/f.u.

Structure (Quantum ESPRESSO input):
```
&SYSTEM
  ibrav = 0, nat = 16, ntyp = 3
/
ATOMIC_SPECIES
La 138.91 La.upf
Sm 150.36 Sm.upf
Zr 91.22 Zr.upf
CELL_PARAMETERS angstrom
7.269 0.978 0.000
-0.973 7.269 0.000
0.000 0.000 10.437
ATOMIC_POSITIONS crystal
La 0.616 0.866 0.242
La 0.375 0.125 0.000
La 0.134 0.866 0.242
La 0.134 0.384 0.242
La 0.134 0.384 0.758
La 0.616 0.384 0.242
La 0.375 0.125 0.500
La 0.616 0.384 0.758
La 0.134 0.866 0.758
La 0.875 0.625 0.000
La 0.375 0.625 0.500
La 0.616 0.866 0.758
La 0.875 0.125 0.500
La 0.875 0.625 0.500
Sm 0.875 0.125 0.000
Zr 0.375 0.625 0.000
```



No. 14
This record from the Alexandria database describes an optimized crystal structure of AcGaAg2. The functional is PBE-GGA. Values from VASP.

Output
Its formation energy is -0.336 eV per atom. The density of states at the Fermi level comes out at 2.0 states/eV/f.u.

Structure (Quantum ESPRESSO input):
```
&SYSTEM
  ibrav = 0, nat = 8, ntyp = 3
/
ATOMIC_SPECIES
Ag 107.87 Ag.upf
Ac 227.00 Ac.upf
Ga 69.72 Ga.upf
CELL_PARAMETERS angstrom
-4.303 -1.440 -1.455
1.679 -2.438 5.250
-3.037 5.507 3.529
ATOMIC_POSITIONS crystal
Ag 0.051 0.102 0.694
Ag 0.859 0.718 0.000
Ag 0.051 0.102 0.306
Ag 0.456 0.912 0.500
Ac 0.757 0.514 0.500
Ac 0.570 0.140 0.000
Ga 0.292 0.585 0.813
Ga 0.292 0.585 0.187
```



No. 15
This record from the Alexandria database describes an optimized crystal structure of Ca2SmSb3Rh4. The functional is PBE-GGA. Values from VASP.

Output
The density of states at the Fermi level comes out at 6.4 states/eV/f.u. The electronic total energy is -58.0 eV/cell.

Structure (Quantum ESPRESSO input):
```
&SYSTEM
  ibrav = 0, nat = 10, ntyp = 4
/
ATOMIC_SPECIES
Sb 121.76 Sb.upf
Sm 150.36 Sm.upf
Rh 102.91 Rh.upf
Ca 40.08 Ca.upf
CELL_PARAMETERS angstrom
4.410 0.000 0.000
0.000 4.410 0.000
0.000 0.000 11.502
ATOMIC_POSITIONS crystal
Sb 0.000 0.000 0.500
Sb 0.000 0.500 0.129
Sb 0.500 0.000 0.871
Sm 0.500 0.500 0.500
Rh 0.500 0.500 0.000
Rh 0.000 0.500 0.351
Rh 0.500 0.000 0.649
Rh 0.000 0.000 0.000
Ca 0.500 0.000 0.230
Ca 0.000 0.500 0.770
```



No. 16
This record from the Alexandria database describes an optimized crystal structure of Co2MoRh2. The functional is PBE-GGA. Values from VASP.

Output
Its formation energy is 0.134 eV per atom. The density of states at the Fermi level comes out at 7.0 states/eV/f.u. As for the relative energy among the computed polymorphs: 0 meV/atom.

Structure (Quantum ESPRESSO input):
```
&SYSTEM
  ibrav = 0, nat = 10, ntyp = 3
/
ATOMIC_SPECIES
Co 58.93 Co.upf
Rh 102.91 Rh.upf
Mo 95.94 Mo.upf
CELL_PARAMETERS angstrom
7.002 0.000 0.000
0.000 7.002 0.000
0.000 0.000 2.726
ATOMIC_POSITIONS crystal
Co 0.622 0.122 0.000
Co 0.378 0.878 0.000
Co 0.122 0.378 0.000
Co 0.878 0.622 0.000
Rh 0.674 0.826 0.500
Rh 0.174 0.674 0.500
Rh 0.326 0.174 0.500
Rh 0.826 0.326 0.500
Mo 0.000 0.000 0.000
Mo 0.500 0.500 0.000
```



No. 17
This record from the Alexandria database describes an optimized crystal structure of Nd6Ni2RhI3. The functional is PBE-GGA. Values from VASP.

Output
The density of states at the Fermi level comes out at 8.1 states/eV/f.u. The electronic total energy is -61.3 eV/cell.

Structure (Quantum ESPRESSO input):
```
&SYSTEM
  ibrav = 0, nat = 12, ntyp = 4
/
ATOMIC_SPECIES
Nd 144.24 Nd.upf
Rh 102.91 Rh.upf
Ni 58.69 Ni.upf
I 126.90 I.upf
CELL_PARAMETERS angstrom
7.200 -0.002 0.000
-3.600 6.235 0.000
-1.201 -2.079 8.104
ATOMIC_POSITIONS crystal
Nd 0.397 0.061 0.183
Nd 0.603 0.939 0.817
Nd 0.939 0.603 0.817
Nd 0.061 0.397 0.183
Nd 0.275 0.275 0.816
Nd 0.725 0.725 0.184
Rh 0.000 0.000 0.000
Ni 0.667 0.333 0.000
Ni 0.333 0.667 0.000
I 0.833 0.167 0.500
I 0.500 0.500 0.500
I 0.167 0.833 0.500
```